<i>
Here is crystalline Ce5TlIr2 at its relaxed geometry from the Alexandria database. Energies are from PBE-GGA.

Cell: 8.7896 8.7896 8.7896 Å, 126.67 126.67 78.80°
Last column: nearest neighbours and their distance in Å.
Positions (direct):
Ce: 0.0000 0.0000 0.0000  4 Ir 3.04, 2 Tl 3.40
Ce: 0.0233 0.5233 0.8187  3 Ir 2.89-3.01
Ce: 0.2047 0.0233 0.5000  3 Ir 2.89-3.01
Ce: 0.2953 0.7953 0.8187  3 Ir 2.89-3.01
Ce: 0.4767 0.2953 0.5000  3 Ir 2.89-3.01
Ce: 0.5000 0.5000 0.0000  4 Ir 3.04, 2 Tl 3.40
Ce: 0.5233 0.7047 0.5000  3 Ir 2.89-3.01
Ce: 0.7047 0.2047 0.1813  3 Ir 2.89-3.01
Ce: 0.7953 0.9767 0.5000  3 Ir 2.89-3.01
Ce: 0.9767 0.4767 0.1813  3 Ir 2.89-3.01
Tl: 0.2500 0.2500 0.0000  10 Ce 3.35-3.40
Tl: 0.7500 0.7500 0.0000  10 Ce 3.35-3.40
Ir: 0.1414 0.3587 0.5000  8 Ce 2.89-3.04, 1 Ir 3.15
Ir: 0.3587 0.8586 0.2173  8 Ce 2.89-3.04, 1 Ir 3.15
Ir: 0.6414 0.1414 0.7827  8 Ce 2.89-3.04, 1 Ir 3.15
Ir: 0.8586 0.6414 0.5000  8 Ce 2.89-3.04, 1 Ir 3.15

## Properties
Its crystal system is tetragonal.

<ii>
Here is crystalline Ce5TlIr2 at its relaxed geometry from the Alexandria database. Energies are from PBE-GGA.

Cell: 8.0837 8.0837 12.5232 Å, 90.00 90.00 140.72°
Last column: nearest neighbours and their distance in Å.
Positions (direct):
Ce: 0.0141 0.9859 0.6395  1 Ce 2.77, 2 Ir 2.81-2.90
Ce: 0.0141 0.9859 0.8605  1 Ce 2.77, 2 Ir 2.81-2.90
Ce: 0.1935 0.8065 0.2500  2 Ir 2.87, 2 Tl 3.15
Ce: 0.3347 0.6653 0.5228  3 Ir 2.73-2.94
Ce: 0.3347 0.6653 0.9772  3 Ir 2.73-2.94
Ce: 0.6653 0.3347 0.0228  3 Ir 2.73-2.94
Ce: 0.6653 0.3347 0.4772  3 Ir 2.73-2.94
Ce: 0.8065 0.1935 0.7500  2 Ir 2.87, 2 Tl 3.15
Ce: 0.9859 0.0141 0.1395  1 Ce 2.77, 2 Ir 2.81-2.90
Ce: 0.9859 0.0141 0.3605  1 Ce 2.77, 2 Ir 2.81-2.90
Tl: 0.2023 0.7977 0.7500  6 Ce 3.15-3.49
Tl: 0.7977 0.2023 0.2500  6 Ce 3.15-3.49
Ir: 0.1458 0.8542 0.0279  6 Ce 2.73-2.94
Ir: 0.1458 0.8542 0.4721  6 Ce 2.73-2.94
Ir: 0.8542 0.1458 0.5279  6 Ce 2.73-2.94
Ir: 0.8542 0.1458 0.9721  6 Ce 2.73-2.94

## Properties
Its crystal system is orthorhombic.

On energetic grounds, <i> is preferred over the next structure by 28.6 kJ/mol of atoms.

<i>
Here is crystalline Ce2Tm2Ir3 at its relaxed geometry from the Alexandria database. Energies are from PBE-GGA.

Cell: 7.4449 7.4449 7.4449 Å, 109.47 109.47 109.47°
Last column: nearest neighbours and their distance in Å.
Positions (direct):
Ce: 0.0000 0.1233 0.5000  3 Ir 2.76
Ce: 0.1233 0.5000 0.0000  3 Ir 2.76
Ce: 0.3767 0.3767 0.3767  3 Ir 2.76
Ce: 0.5000 0.0000 0.1233  3 Ir 2.76
Tm: 0.0000 0.6244 0.5000  6 Ir 2.82-3.08
Tm: 0.5000 0.0000 0.6244  6 Ir 2.82-3.08
Tm: 0.6244 0.5000 0.0000  6 Ir 2.82-3.08
Tm: 0.8756 0.8756 0.8756  6 Ir 2.82-3.08
Ir: 0.1109 0.8609 0.2500  2 Ce 2.76, 4 Tm 2.82-3.08
Ir: 0.2500 0.1109 0.8609  2 Ce 2.76, 4 Tm 2.82-3.08
Ir: 0.3891 0.6391 0.7500  2 Ce 2.76, 4 Tm 2.82-3.08
Ir: 0.6391 0.7500 0.3891  2 Ce 2.76, 4 Tm 2.82-3.08
Ir: 0.7500 0.3891 0.6391  2 Ce 2.76, 4 Tm 2.82-3.08
Ir: 0.8609 0.2500 0.1109  2 Ce 2.76, 4 Tm 2.82-3.08

## Properties
Its crystal system is cubic.

<ii>
Here is crystalline Ce2Tm2Ir3 at its relaxed geometry from the Alexandria database. Energies are from PBE-GGA.

Cell: 5.7908 5.7908 7.2484 Å, 100.27 100.27 46.70°
Last column: nearest neighbours and their distance in Å.
Positions (direct):
Ce: 0.1292 0.1292 0.3589  2 Ir 2.57-2.70
Ce: 0.8708 0.8708 0.6411  2 Ir 2.57-2.70
Tm: 0.3612 0.3612 0.0760  5 Ir 2.84-2.85
Tm: 0.6388 0.6388 0.9240  5 Ir 2.84-2.85
Ir: 0.0000 0.0000 0.0000  2 Ce 2.70, 4 Tm 2.84
Ir: 0.1914 0.1914 0.7197  1 Ce 2.57, 3 Tm 2.84-2.85
Ir: 0.8086 0.8086 0.2803  1 Ce 2.57, 3 Tm 2.84-2.85

## Properties
Its crystal system is monoclinic.

On energetic grounds, <i> is preferred over the next structure by 6.8 kJ/mol of atoms.

<i>
Here is crystalline CeUIr2 at its relaxed geometry from the Alexandria database. Energies are from PBE-GGA.

Cell: 7.0049 7.0049 7.0049 Å, 32.91 32.91 32.91°
Last column: nearest neighbours and their distance in Å.
Positions (direct):
Ce: 0.0000 0.0000 0.0000  6 Ir 2.90
U: 0.5000 0.5000 0.5000  6 Ir 2.76
Ir: 0.2442 0.2442 0.2442  3 U 2.76, 3 Ce 2.90
Ir: 0.7558 0.7558 0.7558  3 U 2.76, 3 Ce 2.90

## Properties
Its crystal system is trigonal.

<ii>
Here is crystalline CeUIr2 at its relaxed geometry from the Alexandria database. Energies are from PBE-GGA.

Cell: 3.4178 3.4178 7.1418 Å, 90.00 90.00 90.00°
Last column: nearest neighbours and their distance in Å.
Positions (direct):
Ce: 0.0000 0.0000 0.0000  8 Ir 3.14, 4 Ce 3.42
U: 0.0000 0.0000 0.5000  8 Ir 2.88
Ir: 0.5000 0.5000 0.2799  4 U 2.88, 4 Ce 3.14, 1 Ir 3.14
Ir: 0.5000 0.5000 0.7201  4 U 2.88, 4 Ce 3.14, 1 Ir 3.14

## Properties
Its crystal system is tetragonal.

<iii>
Here is crystalline CeUIr2 at its relaxed geometry from the Alexandria database. Energies are from PBE-GGA.

Cell: 4.8884 4.8884 4.8884 Å, 60.00 60.00 60.00°
Last column: nearest neighbours and their distance in Å.
Positions (direct):
Ce: 0.0000 0.0000 0.0000  8 Ir 2.99
U: 0.5000 0.5000 0.5000  8 Ir 2.99
Ir: 0.2500 0.2500 0.2500  4 U 2.99, 4 Ce 2.99
Ir: 0.7500 0.7500 0.7500  4 U 2.99, 4 Ce 2.99

## Properties
Its crystal system is cubic.

On energetic grounds, <i> is preferred over the next structure by 5.3 kJ/mol of atoms.

<i>
Here is crystalline Ce2Y2Ir3 at its relaxed geometry from the Alexandria database. Energies are from PBE-GGA.

Cell: 7.5077 7.5077 7.5077 Å, 109.47 109.47 109.47°
Last column: nearest neighbours and their distance in Å.
Positions (direct):
Ce: 0.0000 0.1185 0.5000  3 Ir 2.78
Ce: 0.1185 0.5000 0.0000  3 Ir 2.78
Ce: 0.3815 0.3815 0.3815  3 Ir 2.78
Ce: 0.5000 0.0000 0.1185  3 Ir 2.78
Y: 0.0000 0.6270 0.5000  3 Ir 2.83
Y: 0.5000 0.0000 0.6270  3 Ir 2.83
Y: 0.6270 0.5000 0.0000  3 Ir 2.83
Y: 0.8730 0.8730 0.8730  3 Ir 2.83
Ir: 0.1223 0.8723 0.2500  2 Ce 2.78, 2 Y 2.83
Ir: 0.2500 0.1223 0.8723  2 Ce 2.78, 2 Y 2.83
Ir: 0.3777 0.6277 0.7500  2 Ce 2.78, 2 Y 2.83
Ir: 0.6277 0.7500 0.3777  2 Ce 2.78, 2 Y 2.83
Ir: 0.7500 0.3777 0.6277  2 Ce 2.78, 2 Y 2.83
Ir: 0.8723 0.2500 0.1223  2 Ce 2.78, 2 Y 2.83

## Properties
Its crystal system is cubic.

<ii>
Here is crystalline Ce2Y2Ir3 at its relaxed geometry from the Alexandria database. Energies are from PBE-GGA.

Cell: 6.7460 6.7460 7.0809 Å, 102.30 102.30 36.58°
Last column: nearest neighbours and their distance in Å.
Positions (direct):
Ce: 0.1396 0.1396 0.3541  4 Ir 2.63-2.86
Ce: 0.8604 0.8604 0.6459  4 Ir 2.63-2.86
Y: 0.3737 0.3737 0.1007  5 Ir 2.85-2.89
Y: 0.6263 0.6263 0.8993  5 Ir 2.85-2.89
Ir: 0.0000 0.0000 0.0000  2 Ce 2.73, 4 Y 2.85
Ir: 0.2273 0.2273 0.7281  3 Ce 2.63-2.86, 3 Y 2.87-2.89
Ir: 0.7727 0.7727 0.2719  3 Ce 2.63-2.86, 3 Y 2.87-2.89

## Properties
Its crystal system is monoclinic.

On energetic grounds, <i> is preferred over the next structure by 8.8 kJ/mol of atoms.

<i>
Here is crystalline Ce2YIr at its relaxed geometry from the Alexandria database. Energies are from PBE-GGA.

Cell: 5.9593 5.9593 9.8558 Å, 90.00 90.00 142.86°
Last column: nearest neighbours and their distance in Å.
Positions (direct):
Ce: 0.1392 0.8608 0.5584  2 Ir 2.78
Ce: 0.1392 0.8608 0.9416  2 Ir 2.78
Ce: 0.8608 0.1392 0.0584  2 Ir 2.78
Ce: 0.8608 0.1392 0.4416  2 Ir 2.78
Y: 0.4202 0.5798 0.7500  3 Ir 3.08-3.23
Y: 0.5798 0.4202 0.2500  3 Ir 3.08-3.23
Ir: 0.2940 0.7060 0.2500  4 Ce 2.78, 2 Y 3.08
Ir: 0.7060 0.2940 0.7500  4 Ce 2.78, 2 Y 3.08

## Properties
Its crystal system is orthorhombic.

<ii>
Here is crystalline Ce2YIr at its relaxed geometry from the Alexandria database. Energies are from PBE-GGA.

Cell: 9.3339 9.3339 9.3339 Å, 23.91 23.91 23.91°
Last column: nearest neighbours and their distance in Å.
Positions (direct):
Ce: 0.2284 0.2284 0.2284  3 Ir 2.79
Ce: 0.7716 0.7716 0.7716  3 Ir 2.79
Y: 0.0000 0.0000 0.0000  6 Ce 3.62, 6 Y 3.87
Ir: 0.5000 0.5000 0.5000  6 Ce 2.79

## Properties
Its crystal system is trigonal.

On energetic grounds, <i> is preferred over the next structure by 16.3 kJ/mol of atoms.

<i>
Here is crystalline Ce2YIr at its relaxed geometry from the Alexandria database. Energies are from PBE-GGA.

Cell: 9.2316 9.2316 9.2316 Å, 24.49 24.49 24.49°
Last column: nearest neighbours and their distance in Å.
Positions (direct):
Ce: 0.0000 0.0000 0.0000  3 Ir 2.80
Ce: 0.2106 0.2106 0.2106  3 Ir 2.80
Y: 0.4389 0.4389 0.4389  6 Ce 3.62, 6 Y 3.92
Ir: 0.6052 0.6052 0.6052  6 Ce 2.80

## Properties
Its crystal system is trigonal.

<ii>
Here is crystalline Ce2YIr at its relaxed geometry from the Alexandria database. Energies are from PBE-GGA.

Cell: 14.2816 9.9718 5.9640 Å, 90.00 90.00 90.00°
Last column: nearest neighbours and their distance in Å.
Positions (direct):
Ce: 0.0369 0.0556 0.2479  2 Ir 2.79-2.82
Ce: 0.0369 0.4444 0.2479  2 Ir 2.79-2.82
Ce: 0.2126 0.5615 0.9398  2 Ir 2.76-2.79
Ce: 0.2126 0.9385 0.9398  2 Ir 2.76-2.79
Ce: 0.2874 0.0615 0.4398  2 Ir 2.76-2.79
Ce: 0.2874 0.4385 0.4398  2 Ir 2.76-2.79
Ce: 0.4631 0.5556 0.7479  2 Ir 2.79-2.82
Ce: 0.4631 0.9444 0.7479  2 Ir 2.79-2.82
Ce: 0.5369 0.0556 0.2521  2 Ir 2.79-2.82
Ce: 0.5369 0.4444 0.2521  2 Ir 2.79-2.82
Ce: 0.7126 0.5615 0.5602  2 Ir 2.76-2.79
Ce: 0.7126 0.9385 0.5602  2 Ir 2.76-2.79
Ce: 0.7874 0.0615 0.0602  2 Ir 2.76-2.79
Ce: 0.7874 0.4385 0.0602  2 Ir 2.76-2.79
Ce: 0.9631 0.5556 0.7521  2 Ir 2.79-2.82
Ce: 0.9631 0.9444 0.7521  2 Ir 2.79-2.82
Y: 0.1047 0.2500 0.7415  3 Ir 2.98-3.23
Y: 0.1429 0.7500 0.4565  3 Ir 3.02-3.30
Y: 0.3571 0.2500 0.9565  3 Ir 3.02-3.30
Y: 0.3953 0.7500 0.2415  3 Ir 2.98-3.23
Y: 0.6047 0.2500 0.7585  3 Ir 2.98-3.23
Y: 0.6429 0.7500 0.0435  3 Ir 3.02-3.30
Y: 0.8571 0.2500 0.5435  3 Ir 3.02-3.30
Y: 0.8953 0.7500 0.2585  3 Ir 2.98-3.23
Ir: 0.0695 0.7500 0.9818  4 Ce 2.79-2.82, 2 Y 2.98-3.02
Ir: 0.1767 0.2500 0.2279  4 Ce 2.76-2.79, 2 Y 3.04-3.08
Ir: 0.3233 0.7500 0.7279  4 Ce 2.76-2.79, 2 Y 3.04-3.08
Ir: 0.4305 0.2500 0.4818  4 Ce 2.79-2.82, 2 Y 2.98-3.02
Ir: 0.5695 0.7500 0.5182  4 Ce 2.79-2.82, 2 Y 2.98-3.02
Ir: 0.6767 0.2500 0.2721  4 Ce 2.76-2.79, 2 Y 3.04-3.08
Ir: 0.8233 0.7500 0.7721  4 Ce 2.76-2.79, 2 Y 3.04-3.08
Ir: 0.9305 0.2500 0.0182  4 Ce 2.79-2.82, 2 Y 2.98-3.02

## Properties
Its crystal system is orthorhombic.

On energetic grounds, <ii> is preferred over the next structure by 16.0 kJ/mol of atoms.

<i>
Here is crystalline Ce2YIr2 at its relaxed geometry from the Alexandria database. Energies are from PBE-GGA.

Cell: 4.5275 4.5275 5.8442 Å, 90.00 90.00 109.15°
Last column: nearest neighbours and their distance in Å.
Positions (direct):
Ce: 0.1911 0.8089 0.0000  2 Ir 2.74, 3 Ce 2.76-2.82
Ce: 0.8089 0.1911 0.0000  2 Ir 2.74, 3 Ce 2.76-2.82
Y: 0.0000 0.0000 0.5000  4 Ir 2.97, 4 Ce 3.24
Ir: 0.5000 0.5000 0.2618  2 Ce 2.74, 2 Ir 2.78-3.06, 2 Y 2.97
Ir: 0.5000 0.5000 0.7382  2 Ce 2.74, 2 Ir 2.78-3.06, 2 Y 2.97

## Properties
Its crystal system is orthorhombic.

<ii>
Here is crystalline Ce2YIr2 at its relaxed geometry from the Alexandria database. Energies are from PBE-GGA.

Cell: 7.7768 7.7768 3.8612 Å, 90.00 90.00 90.00°
Last column: nearest neighbours and their distance in Å.
Positions (direct):
Ce: 0.1635 0.3365 0.0000  6 Ir 2.90-3.05
Ce: 0.3365 0.8365 0.0000  6 Ir 2.90-3.05
Ce: 0.6635 0.1635 0.0000  6 Ir 2.90-3.05
Ce: 0.8365 0.6635 0.0000  6 Ir 2.90-3.05
Y: 0.0000 0.0000 0.5000  4 Ir 3.00
Y: 0.5000 0.5000 0.5000  4 Ir 3.00
Ir: 0.1399 0.6399 0.5000  6 Ce 2.90-3.05, 2 Y 3.00, 1 Ir 3.08
Ir: 0.3601 0.1399 0.5000  6 Ce 2.90-3.05, 2 Y 3.00, 1 Ir 3.08
Ir: 0.6399 0.8601 0.5000  6 Ce 2.90-3.05, 2 Y 3.00, 1 Ir 3.08
Ir: 0.8601 0.3601 0.5000  6 Ce 2.90-3.05, 2 Y 3.00, 1 Ir 3.08

## Properties
Its crystal system is tetragonal.

On energetic grounds, <ii> is preferred over the next structure by 40.6 kJ/mol of atoms.

<i>
Here is crystalline CeY2Ir at its relaxed geometry from the Alexandria database. Energies are from PBE-GGA.

Cell: 3.4625 3.4625 8.8391 Å, 90.00 90.00 90.00°
Last column: nearest neighbours and their distance in Å.
Positions (direct):
Ce: 0.0000 0.0000 0.0000  4 Ce 3.46, 8 Y 3.69
Y: 0.5000 0.5000 0.3119  4 Ir 2.96
Y: 0.5000 0.5000 0.6881  4 Ir 2.96
Ir: 0.0000 0.0000 0.5000  8 Y 2.96

## Properties
Its crystal system is tetragonal.

<ii>
Here is crystalline CeY2Ir at its relaxed geometry from the Alexandria database. Energies are from PBE-GGA.

Cell: 9.4959 9.4959 9.4959 Å, 23.88 23.88 23.88°
Last column: nearest neighbours and their distance in Å.
Positions (direct):
Ce: 0.0000 0.0000 0.0000  6 Y 3.76-3.84, 6 Ce 3.93
Y: 0.2251 0.2251 0.2251  3 Ir 2.75
Y: 0.4452 0.4452 0.4452  3 Ir 2.76
Ir: 0.8352 0.8352 0.8352  6 Y 2.75-2.76

## Properties
Its crystal system is trigonal.

On energetic grounds, <i> is preferred over the next structure by 11.6 kJ/mol of atoms.